An optimized crystal structure of Tm4As3O. Source: the Alexandria database, functional PBE.

Results
* size of the total moment: 0.0 Bohr magnetons per cell
* D(E_F): 2.49 states/eV/f.u.
* raw formation energy: -1.756 eV per atom

Cell lengths 11.0939, 5.6838, 5.6867 Å; angles 90.00, 90.00, 90.00 degrees
With the nearest neighbours (Å) after each atom.
Element x y z (fractional)
Tm (0.0000, 0.1784, 0.0000)  1 O 2.13
Tm (0.0000, 0.7474, 0.4274)  1 O 2.14
Tm (0.2467, 0.7526, 0.9999)  1 O 2.77, 5 As 2.81-2.85
Tm (0.2533, 0.2474, 0.4999)  1 O 2.77, 5 As 2.81-2.85
Tm (0.5000, 0.2526, 0.9274)  1 O 2.14
Tm (0.5000, 0.8216, 0.5000)  1 O 2.13
Tm (0.7467, 0.2474, 0.4999)  1 O 2.77, 5 As 2.81-2.85
Tm (0.7533, 0.7526, 0.9999)  1 O 2.77, 5 As 2.81-2.85
As (0.0000, 0.2476, 0.4993)  6 Tm 2.81-2.87
As (0.2499, 0.2531, 0.9996)  6 Tm 2.80-2.85
As (0.2501, 0.7469, 0.4996)  6 Tm 2.80-2.85
As (0.5000, 0.7524, 0.9993)  6 Tm 2.81-2.87
As (0.7501, 0.2531, 0.9996)  6 Tm 2.80-2.85
As (0.7499, 0.7469, 0.4996)  6 Tm 2.80-2.85
O (0.0000, 0.8072, 0.0567)  2 Tm 2.13-2.14
O (0.5000, 0.1928, 0.5567)  2 Tm 2.13-2.14